Density functional theory data (PBE-GGA) for CaSc2H7 after structural relaxation.

Values from the calculation:
**Volume**: 90 Å³/f.u.
**Uncorrected energy**: -4.402 eV/atom

Structure (CIF):
```
data_CaSc2H7
_cell_length_a 3.478
_cell_length_b 3.478
_cell_length_c 14.812
_cell_angle_alpha 90.00
_cell_angle_beta 90.00
_cell_angle_gamma 90.00
_symmetry_space_group_name_H-M 'I 4/m m m'
_symmetry_Int_Tables_number 139
_symmetry_space_group_name_Hall '-I 4 2'
loop_
_atom_site_label
_atom_site_type_symbol
_atom_site_fract_x
_atom_site_fract_y
_atom_site_fract_z
_atom_site_occupancy
Ca1 Ca 0.000 0.000 0.000 1
Sc1 Sc 0.000 0.000 0.335 1
H1 H 0.000 0.000 0.500 1
H2 H 0.000 0.500 0.101 1
H3 H 0.000 0.500 0.250 1
```